1.
The following is a DFT calculation (PBE-GGA) of Ca2Mg3Ag4 after structural relaxation.

Lattice parameters (Å, degrees): 9.078 9.078 7.854 90.00 90.00 140.42
Sites, in units of the cell vectors:
Ca  0.101  0.899  0.903
Ca  0.399  0.601  0.403
Ca  0.601  0.399  0.597
Ca  0.899  0.101  0.097
Mg  0.000  0.000  0.500
Mg  0.015  0.485  0.750
Mg  0.485  0.015  0.250
Mg  0.500  0.500  0.000
Mg  0.515  0.985  0.750
Mg  0.985  0.515  0.250
Ag  0.168  0.832  0.519
Ag  0.182  0.318  0.750
Ag  0.318  0.182  0.250
Ag  0.332  0.668  0.019
Ag  0.668  0.332  0.981
Ag  0.682  0.818  0.750
Ag  0.818  0.682  0.250
Ag  0.832  0.168  0.481

=====

2.
The following is a DFT calculation (PBE-GGA) of CaMgAg2 after structural relaxation.

Lattice parameters (Å, degrees): 3.625 3.625 6.935 90.00 90.00 90.00
Sites, in units of the cell vectors:
Ca  0.000  0.000  0.000
Mg  0.500  0.500  0.336
Ag  0.000  0.000  0.524
Ag  0.500  0.500  0.743

=====

3.
The following is a DFT calculation (PBE-GGA) of Ca2Mg5Ag3 after structural relaxation.

Lattice parameters (Å, degrees): 13.979 13.979 7.499 90.00 90.00 161.05
Sites, in units of the cell vectors:
Ca  0.023  0.977  0.500
Ca  0.324  0.676  0.571
Ca  0.676  0.324  0.071
Ca  0.977  0.023  0.000
Mg  0.098  0.902  0.874
Mg  0.208  0.792  0.378
Mg  0.208  0.792  0.772
Mg  0.371  0.629  0.044
Mg  0.444  0.556  0.675
Mg  0.556  0.444  0.175
Mg  0.629  0.371  0.544
Mg  0.792  0.208  0.272
Mg  0.792  0.208  0.878
Mg  0.902  0.098  0.374
Ag  0.113  0.887  0.257
Ag  0.266  0.734  0.076
Ag  0.456  0.544  0.290
Ag  0.544  0.456  0.790
Ag  0.734  0.266  0.576
Ag  0.887  0.113  0.757

=====

4.
The following is a DFT calculation (PBE-GGA) of Ca3MgAg4 after structural relaxation.

Lattice parameters (Å, degrees): 5.120 5.120 7.288 90.00 90.00 90.00
Sites, in units of the cell vectors:
Ca  0.000  0.000  0.000
Ca  0.000  0.000  0.500
Ca  0.500  0.500  0.000
Mg  0.500  0.500  0.500
Ag  0.000  0.500  0.267
Ag  0.000  0.500  0.733
Ag  0.500  0.000  0.267
Ag  0.500  0.000  0.733

=====

5.
The following is a DFT calculation (PBE-GGA) of Ca5MgAg6 after structural relaxation.

Lattice parameters (Å, degrees): 8.955 8.955 5.245 106.87 106.87 120.55
Sites, in units of the cell vectors:
Ca  0.000  0.000  0.000
Ca  0.163  0.837  0.500
Ca  0.326  0.674  0.000
Ca  0.674  0.326  0.000
Ca  0.837  0.163  0.500
Mg  0.500  0.500  0.500
Ag  0.114  0.428  0.272
Ag  0.280  0.280  0.779
Ag  0.428  0.114  0.272
Ag  0.572  0.886  0.728
Ag  0.720  0.720  0.221
Ag  0.886  0.572  0.728

=====

6.
The following is a DFT calculation (PBE-GGA) of Ca2MgAg after structural relaxation.

Lattice parameters (Å, degrees): 6.586 6.586 5.539 114.62 114.62 31.88
Sites, in units of the cell vectors:
Ca  0.000  0.000  0.000
Ca  0.203  0.203  0.701
Mg  0.784  0.784  0.282
Ag  0.473  0.473  0.474

=====

Number 1: DFT formation energy -0.24 eV/atom. Number 2: DFT formation energy -0.17 eV/atom. Number 3: DFT formation energy -0.21 eV/atom. Number 4: DFT formation energy -0.27 eV/atom. Number 5: DFT formation energy -0.29 eV/atom. Number 6: DFT formation energy -0.16 eV/atom.